Dy2AlSe after structural relaxation. Source: Alexandria via LeMat-Bulk, functional PBE.

```
Dy2AlSe
1.0
1.953 1.127 7.658
-1.953 1.127 7.658
0.000 -2.255 7.658
Dy Al Se
2 1 1
direct
0.246 0.246 0.246
0.754 0.754 0.754
0.000 0.000 0.000
0.500 0.500 0.500
```

Calculated values
Uncorrected formation energy = -1.01 eV/atom
Crystal system = trigonal
Raw total energy = -5.11 eV per atom
Symmetry = R-3m (166)
Relative energy among the computed polymorphs = 0.447 eV/f.u.
Magnetic moment = 0.00 μB per formula unit